Entry 1:
The following is a DFT calculation (GGA-PBE) of a geometry-optimized DyEr12Ni4 structure.

Results
For the calculated volume, the calculation gives 983 Å³/cell. For the formation energy, the calculation gives -0.027 eV/atom. The calculation puts the density of states at the Fermi level at 52.564 states/eV/cell.

Structure (CIF):
```
data_DyEr12Ni4
_cell_length_a 9.9438
_cell_length_b 9.9438
_cell_length_c 9.9438
_cell_angle_alpha 90.00
_cell_angle_beta 90.00
_cell_angle_gamma 90.00
_symmetry_space_group_name_H-M 'I m -3'
_symmetry_Int_Tables_number 204
_symmetry_space_group_name_Hall '-I 2 2 3'
loop_
_atom_site_label
_atom_site_type_symbol
_atom_site_fract_x
_atom_site_fract_y
_atom_site_fract_z
Dy1 Dy 0.0000 0.0000 0.0000
Er1 Er 0.0000 0.1793 0.3118
Ni1 Ni 0.2500 0.2500 0.2500
```

Entry 2:
The following is a DFT calculation (GGA-PBE) of a geometry-optimized DyErNi10 structure.

Results
For the calculated volume, the calculation gives 162 Å³/cell. For the formation energy, the calculation gives -0.333 eV/atom. The calculation puts the density of states at the Fermi level at 13.658 states/eV/cell.

Structure (CIF):
```
data_DyErNi10
_cell_length_a 3.9562
_cell_length_b 4.8683
_cell_length_c 8.4210
_cell_angle_alpha 90.00
_cell_angle_beta 90.00
_cell_angle_gamma 90.00
_symmetry_space_group_name_H-M 'P m m m'
_symmetry_Int_Tables_number 47
loop_
_symmetry_equiv_pos_as_xyz
'x,y,z'
'-x,-y,-z'
'-x,-y,z'
'x,y,-z'
'x,-y,-z'
'-x,y,z'
'-x,y,-z'
'x,-y,z'
loop_
_atom_site_label
_atom_site_type_symbol
_atom_site_fract_x
_atom_site_fract_y
_atom_site_fract_z
Dy1 Dy 0.0000 0.0000 0.0000
Er1 Er 0.0000 0.5000 0.5000
Ni1 Ni 0.0000 0.0000 0.3344
Ni2 Ni 0.0000 0.5000 0.1676
Ni3 Ni 0.5000 0.0000 0.5000
Ni4 Ni 0.5000 0.2505 0.2509
Ni5 Ni 0.5000 0.5000 0.0000
```

Entry 3:
The following is a DFT calculation (GGA-PBE) of a geometry-optimized DyEr3Ni3 structure.

Results
For the calculated volume, the calculation gives 600 Å³/cell. For the formation energy, the calculation gives -0.319 eV/atom. The calculation puts the density of states at the Fermi level at 21.972 states/eV/cell.

Structure (CIF):
```
data_DyEr3Ni3
_cell_length_a 8.9183
_cell_length_b 9.9570
_cell_length_c 6.7612
_cell_angle_alpha 90.00
_cell_angle_beta 91.38
_cell_angle_gamma 90.00
_symmetry_space_group_name_H-M 'C 1 2/m 1'
_symmetry_Int_Tables_number 12
loop_
_symmetry_equiv_pos_as_xyz
'x,y,z'
'-x,-y,-z'
'-x,y,-z'
'x,-y,z'
'x+1/2,y+1/2,z'
'-x+1/2,-y+1/2,-z'
'-x+1/2,y+1/2,-z'
'x+1/2,-y+1/2,z'
loop_
_atom_site_label
_atom_site_type_symbol
_atom_site_fract_x
_atom_site_fract_y
_atom_site_fract_z
Dy1 Dy 0.2426 0.0000 0.3796
Er1 Er 0.0000 0.2518 0.5000
Er2 Er 0.0000 0.3233 0.0000
Er3 Er 0.1651 0.0000 0.8753
Ni1 Ni 0.0583 0.5000 0.3124
Ni2 Ni 0.2407 0.2452 0.2109
```

Entry 4:
The following is a DFT calculation (GGA-PBE) of a geometry-optimized Dy2Er3Ni4 structure.

Results
For the calculated volume, the calculation gives 377 Å³/cell. For the formation energy, the calculation gives -0.404 eV/atom. The calculation puts the density of states at the Fermi level at 11.955 states/eV/cell.

Structure (CIF):
```
data_Dy2Er3Ni4
_cell_length_a 7.2922
_cell_length_b 7.2140
_cell_length_c 7.4942
_cell_angle_alpha 90.00
_cell_angle_beta 106.88
_cell_angle_gamma 90.00
_symmetry_space_group_name_H-M 'P 1 21/c 1'
_symmetry_Int_Tables_number 14
loop_
_symmetry_equiv_pos_as_xyz
'x,y,z'
'-x,-y,-z'
'-x,y+1/2,-z+1/2'
'x,-y+1/2,z+1/2'
loop_
_atom_site_label
_atom_site_type_symbol
_atom_site_fract_x
_atom_site_fract_y
_atom_site_fract_z
Dy1 Dy 0.2009 0.1791 0.0955
Er1 Er 0.2367 0.6708 0.2511
Er2 Er 0.5000 0.0000 0.5000
Ni1 Ni 0.0897 0.5290 0.8821
Ni2 Ni 0.4995 0.1194 0.8833
```

Entry 5:
The following is a DFT calculation (GGA-PBE) of a geometry-optimized Dy3ErNi8 structure.

Results
For the calculated volume, the calculation gives 549 Å³/cell. For the formation energy, the calculation gives -0.457 eV/atom. The calculation puts the density of states at the Fermi level at 18.899 states/eV/cell.

Structure (CIF):
```
data_Dy3ErNi8
_cell_length_a 5.0532
_cell_length_b 5.0532
_cell_length_c 24.8231
_cell_angle_alpha 90.00
_cell_angle_beta 90.00
_cell_angle_gamma 120.00
_symmetry_space_group_name_H-M 'R 3 m'
_symmetry_Int_Tables_number 160
_symmetry_space_group_name_Hall 'R 3 -2"'
loop_
_atom_site_label
_atom_site_type_symbol
_atom_site_fract_x
_atom_site_fract_y
_atom_site_fract_z
Dy1 Dy 0.0000 0.0000 0.0000
Dy2 Dy 0.0000 0.0000 0.1250
Dy3 Dy 0.0000 0.0000 0.6246
Er1 Er 0.0000 0.0000 0.4999
Ni1 Ni 0.0000 0.0000 0.3124
Ni2 Ni 0.0000 0.0000 0.8125
Ni3 Ni 0.9999 0.5000 0.5621
Ni4 Ni 0.0006 0.5003 0.0626
```

Entry 6:
The following is a DFT calculation (GGA-PBE) of a geometry-optimized Dy3Er3Ni2 structure.

Results
For the calculated volume, the calculation gives 857 Å³/cell. For the formation energy, the calculation gives -0.165 eV/atom. The calculation puts the density of states at the Fermi level at 40.076 states/eV/cell.

Structure (CIF):
```
data_Dy3Er3Ni2
_cell_length_a 3.6132
_cell_length_b 13.0064
_cell_length_c 18.2428
_cell_angle_alpha 90.00
_cell_angle_beta 90.00
_cell_angle_gamma 90.00
_symmetry_space_group_name_H-M 'C m c m'
_symmetry_Int_Tables_number 63
_symmetry_space_group_name_Hall '-C 2c 2'
loop_
_atom_site_label
_atom_site_type_symbol
_atom_site_fract_x
_atom_site_fract_y
_atom_site_fract_z
Dy1 Dy 0.0000 0.0459 0.2500
Dy2 Dy 0.0000 0.1767 0.5632
Er1 Er 0.0000 0.2329 0.7500
Er2 Er 0.0000 0.4379 0.5847
Ni1 Ni 0.0000 0.1978 0.1396
```

Entry 7:
The following is a DFT calculation (GGA-PBE) of a geometry-optimized DyEr2Ni2 structure.

Results
For the calculated volume, the calculation gives 225 Å³/cell. For the formation energy, the calculation gives -0.256 eV/atom. The calculation puts the density of states at the Fermi level at 12.161 states/eV/cell.

Structure (CIF):
```
data_DyEr2Ni2
_cell_length_a 11.3508
_cell_length_b 3.7495
_cell_length_c 5.4648
_cell_angle_alpha 90.00
_cell_angle_beta 104.24
_cell_angle_gamma 90.00
_symmetry_space_group_name_H-M 'C 1 2/m 1'
_symmetry_Int_Tables_number 12
loop_
_symmetry_equiv_pos_as_xyz
'x,y,z'
'-x,-y,-z'
'-x,y,-z'
'x,-y,z'
'x+1/2,y+1/2,z'
'-x+1/2,-y+1/2,-z'
'-x+1/2,y+1/2,-z'
'x+1/2,-y+1/2,z'
loop_
_atom_site_label
_atom_site_type_symbol
_atom_site_fract_x
_atom_site_fract_y
_atom_site_fract_z
Dy1 Dy 0.0000 0.0000 0.0000
Er1 Er 0.1484 0.5000 0.5889
Ni1 Ni 0.2126 0.5000 0.1141
```

Entry 8:
The following is a DFT calculation (GGA-PBE) of a geometry-optimized Dy3Er4Ni4 structure.

Results
For the calculated volume, the calculation gives 501 Å³/cell. For the formation energy, the calculation gives -0.246 eV/atom. The calculation puts the density of states at the Fermi level at 25.527 states/eV/cell.

Structure (CIF):
```
data_Dy3Er4Ni4
_cell_length_a 3.7309
_cell_length_b 8.8106
_cell_length_c 15.2471
_cell_angle_alpha 90.00
_cell_angle_beta 90.00
_cell_angle_gamma 90.00
_symmetry_space_group_name_H-M 'I m m m'
_symmetry_Int_Tables_number 71
_symmetry_space_group_name_Hall '-I 2 2'
loop_
_atom_site_label
_atom_site_type_symbol
_atom_site_fract_x
_atom_site_fract_y
_atom_site_fract_z
Dy1 Dy 0.0000 0.0000 0.0000
Dy2 Dy 0.0000 0.5000 0.1078
Er1 Er 0.0000 0.3144 0.3378
Ni1 Ni 0.0000 0.0000 0.2426
Ni2 Ni 0.0000 0.1649 0.5000
```

Entry 9:
The following is a DFT calculation (GGA-PBE) of a geometry-optimized DyErNi2 structure.

Results
For the calculated volume, the calculation gives 304 Å³/cell. For the formation energy, the calculation gives -0.410 eV/atom. The calculation puts the density of states at the Fermi level at 17.199 states/eV/cell.

Structure (CIF):
```
data_DyErNi2
_cell_length_a 6.7234
_cell_length_b 6.7234
_cell_length_c 6.7234
_cell_angle_alpha 90.00
_cell_angle_beta 90.00
_cell_angle_gamma 90.00
_symmetry_space_group_name_H-M 'F m -3 m'
_symmetry_Int_Tables_number 225
_symmetry_space_group_name_Hall '-F 4 2 3'
loop_
_atom_site_label
_atom_site_type_symbol
_atom_site_fract_x
_atom_site_fract_y
_atom_site_fract_z
Dy1 Dy 0.0000 0.0000 0.0000
Er1 Er 0.0000 0.0000 0.5000
Ni1 Ni 0.2500 0.2500 0.2500
```

Entry 10:
The following is a DFT calculation (GGA-PBE) of a geometry-optimized Dy3ErNi structure.

Results
For the calculated volume, the calculation gives 538 Å³/cell. For the formation energy, the calculation gives -0.174 eV/atom. The calculation puts the density of states at the Fermi level at 25.869 states/eV/cell.

Structure (CIF):
```
data_Dy3ErNi
_cell_length_a 12.2841
_cell_length_b 3.6296
_cell_length_c 12.8000
_cell_angle_alpha 90.00
_cell_angle_beta 109.35
_cell_angle_gamma 90.00
_symmetry_space_group_name_H-M 'C 1 m 1'
_symmetry_Int_Tables_number 8
loop_
_symmetry_equiv_pos_as_xyz
'x,y,z'
'x,-y,z'
'x+1/2,y+1/2,z'
'x+1/2,-y+1/2,z'
loop_
_atom_site_label
_atom_site_type_symbol
_atom_site_fract_x
_atom_site_fract_y
_atom_site_fract_z
Dy1 Dy 0.0000 0.0000 0.0000
Dy2 Dy 0.0217 0.5000 0.2475
Dy3 Dy 0.0739 0.5000 0.6530
Dy4 Dy 0.1804 0.0000 0.4819
Dy5 Dy 0.2324 0.0000 0.8896
Dy6 Dy 0.3701 0.5000 0.7179
Er1 Er 0.2556 0.5000 0.1382
Er2 Er 0.3842 0.5000 0.4174
Ni1 Ni 0.0376 0.5000 0.8572
Ni2 Ni 0.2181 0.0000 0.2800
```